This record from Alexandria via LeMat-Bulk describes a geometry-optimized RbAlH2 structure. The functional is PBE.

The structure in POSCAR format:
```
RbAlH2
1.0
4.595 0.000 0.000
-0.218 6.031 0.000
-2.124 -2.862 5.930
Rb Al H
2 2 4
Direct
0.078 0.328 0.192
0.922 0.672 0.808
0.300 0.090 0.600
0.700 0.910 0.400
0.336 0.389 0.651
0.664 0.611 0.349
0.581 0.887 0.137
0.419 0.113 0.863
```

Values from the calculation:
Distance to the lowest polymorph of the same formula   33.1 meV per atom